Entry from Alexandria via LeMat-Bulk: crystalline UNi6Ge2 at its relaxed geometry (PBE).

Summary:
SG: Immm (71)
Crystal system: orthorhombic
Formation energy from the elements in meV per atom: -120

a b c (Å): 6.0254 6.0254 6.0254
angles (deg): 142.84 99.78 91.90
Closest atoms and distances in Å follow each position.
Element x y z (fractional)
U: 0.0000 0.0000 0.0000  4 Ni 2.66, 2 Ge 2.90
Ni: 0.1239 0.7956 0.3282  2 Ge 2.38, 3 Ni 2.40-2.53
Ni: 0.2372 0.5000 0.7372  2 Ge 2.42, 6 Ni 2.53-2.67, 2 U 2.66
Ni: 0.4674 0.7956 0.6718  2 Ge 2.38, 3 Ni 2.40-2.53
Ni: 0.5326 0.2044 0.3282  2 Ge 2.38, 3 Ni 2.40-2.53
Ni: 0.7628 0.5000 0.2628  2 Ge 2.42, 6 Ni 2.53-2.67, 2 U 2.66
Ni: 0.8761 0.2044 0.6718  2 Ge 2.38, 3 Ni 2.40-2.53
Ge: 0.3458 0.3458 0.0000  6 Ni 2.38-2.42, 1 Ge 2.58
Ge: 0.6542 0.6542 0.0000  6 Ni 2.38-2.42, 1 Ge 2.58